Here is a relaxed CrFeTc2 crystal from the Alexandria database. Energies are from PBE-GGA.

Structure (POSCAR):
```
CrFeTc2
1.0
-0.0737 -1.2480 -2.2757
-0.9749 -1.5700 1.8238
-7.6164 3.0639 -1.4337
Tc Cr Fe
2 1 1
Cartesian
-0.0263 0.0106 -0.0050
-3.7819 1.5214 -0.7119
-2.4284 -0.6430 -0.5843
-6.2366 0.8889 -1.3012
```

space-group type = Cmmm
energy = -9.574 eV per atom



Here is a relaxed CrFeTc2 crystal from the Alexandria database. Energies are from PBE-GGA.

Structure (POSCAR):
```
CrFeTc2
1.0
-0.7592 1.2158 -2.2248
0.1332 -2.3000 -1.3024
-7.1315 -1.3679 1.6862
Fe Tc Cr
1 2 1
Cartesian
-5.6616 -1.5680 -0.4989
-3.5809 -0.6868 0.8467
-7.1163 -1.3649 1.6826
-2.0959 -0.8841 -1.3420
```

space-group type = P4/mmm
energy = -9.551 eV per atom



Here is a relaxed CrFeTc2 crystal from the Alexandria database. Energies are from PBE-GGA.

Structure (POSCAR):
```
CrFeTc2
1.0
-0.0168 -1.8523 -1.8850
2.6424 0.0192 -0.0426
0.1218 -5.2691 5.1766
Cr Tc Fe
1 2 1
Cartesian
0.0632 -2.7344 2.6865
0.1194 -5.1674 5.0767
1.3449 -2.3049 0.4003
1.4025 -4.7990 2.8506
```

space-group type = P4mm
energy = -9.558 eV per atom



What are the calculated formation energy values for these records? In order: 130 154 146 meV/atom.